Computed, not measured: crystalline Zr2VGaC at its relaxed geometry at the PBE level of DFT.

E_form   -0.480 eV/atom
D(E_F)   0.54 states/eV/atom

Cell: 4.575 4.575 3.926 Å, 90.00 90.00 90.00°
Space group P4/mmm (No. 123)
Inequivalent atoms, fractional coordinates:
Zr (0.000, 0.500, 0.000) [2 per cell]
V (0.000, 0.000, 0.500) [1 per cell]
Ga (0.500, 0.500, 0.500) [1 per cell]
C (0.000, 0.000, 0.000) [1 per cell]